Record 1
The following is a PBE-GGA calculation of a relaxed structure of Sc5GeTe5, from Alexandria.

Unit cell a=7.1150 b=7.1150 c=8.1865 alpha=106.98 beta=106.98 gamma=48.23
Closest atoms and distances in Å follow each position.
Element x y z (fractional)
Sc 0.0000 0.0000 0.0000  2 Ge 2.91, 4 Te 2.92-2.93
Sc 0.3434 0.3434 0.1583  1 Ge 2.74, 5 Te 2.88-3.02
Sc 0.3453 0.3453 0.6847  1 Ge 2.72, 5 Te 2.87-3.02
Sc 0.6547 0.6547 0.3153  1 Ge 2.72, 5 Te 2.87-3.02
Sc 0.6566 0.6566 0.8417  1 Ge 2.74, 5 Te 2.88-3.02
Ge 0.5000 0.5000 0.0000  6 Sc 2.72-2.91
Te 0.1644 0.1644 0.8259  5 Sc 2.91-2.96
Te 0.1716 0.1716 0.3353  5 Sc 2.92-3.02
Te 0.5000 0.5000 0.5000  4 Sc 2.87-2.88
Te 0.8284 0.8284 0.6647  5 Sc 2.92-3.02
Te 0.8356 0.8356 0.1741  5 Sc 2.91-2.96

uncorrected formation energy	-1154	meV per atom
SG	C2/m

Record 2
The following is a PBE-GGA calculation of a relaxed structure of Pr2Sm3Pb2, from Alexandria.

Unit cell a=8.7797 b=8.7797 c=8.3008 alpha=115.48 beta=115.48 gamma=23.68
Closest atoms and distances in Å follow each position.
Element x y z (fractional)
Pr 0.1231 0.1231 0.4740  4 Pb 3.39-3.62, 4 Sm 3.56-3.71, 2 Pr 3.60
Pr 0.8769 0.8769 0.5260  4 Pb 3.39-3.62, 4 Sm 3.56-3.71, 2 Pr 3.60
Sm 0.0000 0.0000 0.0000  4 Sm 3.30-3.60, 4 Pb 3.32, 2 Pr 3.56
Sm 0.2119 0.2119 0.1396  5 Sm 3.30-3.61, 3 Pb 3.35-3.44, 2 Pr 3.69
Sm 0.7881 0.7881 0.8604  5 Sm 3.30-3.61, 3 Pb 3.35-3.44, 2 Pr 3.69
Pb 0.4225 0.4225 0.2326  5 Sm 3.32-3.44, 4 Pr 3.39-3.62, 2 Pb 3.60
Pb 0.5775 0.5775 0.7674  5 Sm 3.32-3.44, 4 Pr 3.39-3.62, 2 Pb 3.60

SG	C2/m
energy of formation from the pure elements	-1.25	eV per formula unit

Record 3
The following is a PBE-GGA calculation of a relaxed structure of NaHfTi3, from Alexandria.

Unit cell a=4.9994 b=4.9994 c=4.9994 alpha=90.00 beta=90.00 gamma=90.00
Closest atoms and distances in Å follow each position.
Element x y z (fractional)
Na 0.0000 0.0000 0.0000  12 Ti 3.54
Hf 0.5000 0.5000 0.5000  6 Ti 2.50
Ti 0.0000 0.5000 0.5000  2 Hf 2.50
Ti 0.5000 0.0000 0.5000  2 Hf 2.50
Ti 0.5000 0.5000 0.0000  2 Hf 2.50

SG	Pm-3m
energy of formation from the pure elements	5.98	eV per formula unit
energy relative to the lowest polymorph listed for this composition	0.00	eV/f.u.

Record 4
The following is a PBE-GGA calculation of a relaxed structure of ScTa8, from Alexandria.

Unit cell a=6.7016 b=6.7016 c=6.7016 alpha=95.73 beta=95.73 gamma=143.15
Closest atoms and distances in Å follow each position.
Element x y z (fractional)
Sc 0.0000 0.0000 0.0000  12 Ta 2.99-3.00
Ta 0.0000 0.3331 0.3331  11 Ta 2.99-3.00, 1 Sc 2.99
Ta 0.0000 0.6669 0.6669  11 Ta 2.99-3.00, 1 Sc 2.99
Ta 0.3331 0.0000 0.3331  11 Ta 2.99-3.00, 1 Sc 2.99
Ta 0.3330 0.3330 0.6660  10 Ta 2.99-3.00, 2 Sc 3.00
Ta 0.3330 0.6670 0.0000  10 Ta 2.99-3.00, 2 Sc 3.00
Ta 0.6669 0.0000 0.6669  11 Ta 2.99-3.00, 1 Sc 2.99
Ta 0.6670 0.3330 0.0000  10 Ta 2.99-3.00, 2 Sc 3.00
Ta 0.6670 0.6670 0.3340  10 Ta 2.99-3.00, 2 Sc 3.00

SG	I4/mmm
energy of formation from the pure elements	2.49	eV per formula unit

Raw total energy / eV/atom: -5.879, -4.626, -5.795, -10.962